[1]
Below is a relaxed structure of KTa2Ag, with properties calculated at the PBE level.

Results
energy relative to the lowest polymorph listed for this composition: 649 meV/atom

The structure in extended XYZ format:
```
4
Lattice="6.350 -0.017 0.000 -3.907 5.006 0.000 0.000 0.000 2.761" Properties=species:S:1:pos:R:3 pbc="T T T"
Ag 3.175 -0.008 1.380
K -1.954 2.503 1.380
Ta 0.000 0.000 0.000
Ta 1.222 2.495 0.000
```


[2]
Below is a relaxed structure of LiAs3S, with properties calculated at the PBE level.

Results
energy relative to the lowest polymorph listed for this composition: 0 meV/atom

The structure in extended XYZ format:
```
5
Lattice="-0.799 -1.103 4.671 4.059 -2.682 0.060 2.562 3.906 1.360" Properties=species:S:1:pos:R:3 pbc="T T T"
As 2.029 -1.341 0.030
As 1.281 1.953 0.680
As -0.399 -0.552 2.335
S 0.000 0.000 0.000
Li 2.911 0.060 3.046
```


[3]
Below is a relaxed structure of LiNpBiS4, with properties calculated at the PBE level.

Results
uncorrected energy: -6.00 eV per atom

The structure in extended XYZ format:
```
14
Lattice="-2.683 5.703 4.962 -3.907 -2.028 6.702 3.486 1.067 7.142" Properties=species:S:1:pos:R:3 pbc="T T T"
Li -3.685 2.436 8.174
Li 0.581 2.305 10.631
Np 0.000 0.000 0.000
Np -0.211 -0.480 6.922
Bi 0.402 3.385 6.052
Bi 1.743 0.534 3.571
S -2.375 3.644 13.977
S -0.970 0.604 11.748
S -2.134 4.138 7.057
S -0.728 1.097 4.828
S -2.669 0.042 7.946
S -4.129 3.146 10.646
S 1.026 1.596 8.159
S -0.434 4.699 10.859
```


[4]
Below is a relaxed structure of CaLaTl3, with properties calculated at the PBE level.

Results
energy relative to the lowest polymorph listed for this composition: 134 meV/atom

The structure in extended XYZ format:
```
5
Lattice="-5.593 -1.982 -1.132 2.227 -4.082 -3.856 0.500 -3.988 4.510" Properties=species:S:1:pos:R:3 pbc="T T T"
Tl 1.113 -2.041 -1.928
Tl 0.250 -1.994 2.255
Tl -2.797 -0.991 -0.566
Ca -1.433 -5.026 -0.239
La 0.000 0.000 0.000
```


[5]
Below is a relaxed structure of MgNiRh14, with properties calculated at the PBE level.

Results
uncorrected energy: -6.93 eV per atom

The structure in extended XYZ format:
```
16
Lattice="5.379 0.722 0.000 -0.722 5.379 0.000 0.000 0.000 7.704" Properties=species:S:1:pos:R:3 pbc="T T T"
Mg 4.616 1.305 0.000
Ni 1.566 3.632 0.000
Rh 1.566 3.633 3.852
Rh 4.617 1.304 3.852
Rh 4.256 3.994 0.000
Rh 4.256 3.994 3.852
Rh 1.927 0.943 0.000
Rh 1.927 0.943 3.852
Rh 2.719 5.142 5.764
Rh 2.719 5.142 1.940
Rh 0.414 2.123 5.764
Rh 0.414 2.123 1.940
Rh 0.057 4.785 5.764
Rh 0.057 4.785 1.940
Rh 3.076 2.480 5.764
Rh 3.076 2.480 1.941
```


[6]
Below is a relaxed structure of NaY2As2, with properties calculated at the PBE level.

Results
energy relative to the lowest polymorph listed for this composition: 265 meV/atom

The structure in extended XYZ format:
```
5
Lattice="-1.469 3.283 -3.698 2.541 -2.809 -3.503 -4.498 -3.108 -4.570" Properties=species:S:1:pos:R:3 pbc="T T T"
Y -2.716 0.206 -5.934
Y -0.711 -2.840 -5.837
Na 0.000 0.000 0.000
As -1.022 -0.798 -3.901
As -2.405 -1.836 -7.870
```


Number 1: ρ 9.65 g cm⁻³. Number 2: ρ 3.80 g cm⁻³. Number 3: ρ 5.29 g cm⁻³. Number 4: ρ 5.97 g cm⁻³. Number 5: ρ 11.15 g cm⁻³. Number 6: ρ 3.57 g cm⁻³.